Record 1
CsSrH2: single point on PBEsol structure, meta-GGA SCAN.

Computed properties:
Space-group type: Fm-3m (225)
DOS at the Fermi energy, states/eV per atom: 0.494
Total DFT energy (no corrections), eV per atom: -16.623

Cell lengths 5.031, 5.031, 5.031 Å; angles 60.00, 60.00, 60.00 degrees
Fractional coordinates of all 4 atoms:
1 Cs 0.000 0.000 0.000
2 Sr 0.500 0.500 0.500
3 H 0.250 0.250 0.250
4 H 0.750 0.750 0.750

Record 2
ZrTa2CrPd: single point on PBEsol structure, meta-GGA SCAN.

Computed properties:
E_form, eV/f.u.: 5.24
Space-group type: P4/mmm (123)
DOS at the Fermi energy, states/eV per atom: 1.244

Cell lengths 4.784, 4.784, 4.642 Å; angles 90.00, 90.00, 90.00 degrees
Fractional coordinates of all 5 atoms:
1 Zr 0.000 0.000 0.000
2 Ta 0.000 0.500 0.500
3 Ta 0.500 0.000 0.500
4 Cr 0.500 0.500 0.000
5 Pd 0.500 0.500 0.500

Record 3
NbP4O12: single point on PBEsol structure, meta-GGA SCAN.

Computed properties:
Space-group type: C2/c (15)
E_form (uncorrected), meV per atom: -2368

Cell lengths 7.426, 7.426, 10.493 Å; angles 115.72, 115.72, 68.74 degrees
Fractional coordinates of all 34 atoms:
1 Nb 0.053 0.947 0.750
2 Nb 0.947 0.053 0.250
3 P 0.261 0.737 0.473
4 P 0.263 0.739 0.027
5 P 0.282 0.316 0.815
6 P 0.316 0.282 0.315
7 P 0.684 0.718 0.685
8 P 0.718 0.684 0.185
9 P 0.737 0.261 0.973
10 P 0.739 0.263 0.527
11 O 0.099 0.851 0.097
12 O 0.146 0.228 0.330
13 O 0.149 0.901 0.403
14 O 0.173 0.367 0.678
15 O 0.205 0.750 0.599
16 O 0.228 0.146 0.830
17 O 0.248 0.524 0.344
18 O 0.250 0.795 0.901
19 O 0.265 0.501 0.968
20 O 0.367 0.173 0.178
21 O 0.476 0.752 0.156
22 O 0.499 0.735 0.532
23 O 0.501 0.265 0.468
24 O 0.524 0.248 0.844
25 O 0.633 0.827 0.822
26 O 0.735 0.499 0.032
27 O 0.750 0.205 0.099
28 O 0.752 0.476 0.656
29 O 0.772 0.854 0.170
30 O 0.795 0.250 0.401
31 O 0.827 0.633 0.322
32 O 0.851 0.099 0.597
33 O 0.854 0.772 0.670
34 O 0.901 0.149 0.903

Record 4
MnBeNi6: single point on PBEsol structure, meta-GGA SCAN.

Computed properties:
E_form, eV/f.u.: -1.74
Space-group type: Cmmm (65)
DOS at the Fermi energy, states/eV per atom: 0.550

Cell lengths 5.961, 5.961, 9.736 Å; angles 90.00, 90.00, 109.75 degrees
Fractional coordinates of all 32 atoms:
1 Mn 0.000 0.000 0.247
2 Mn 0.000 0.000 0.753
3 Mn 0.247 0.753 0.500
4 Mn 0.753 0.247 0.500
5 Be 0.244 0.756 0.000
6 Be 0.500 0.500 0.246
7 Be 0.500 0.500 0.754
8 Be 0.756 0.244 0.000
9 Ni 0.000 0.000 0.000
10 Ni 0.000 0.000 0.500
11 Ni 0.129 0.381 0.122
12 Ni 0.129 0.381 0.878
13 Ni 0.131 0.379 0.372
14 Ni 0.131 0.379 0.628
15 Ni 0.251 0.749 0.245
16 Ni 0.251 0.749 0.755
17 Ni 0.379 0.131 0.372
18 Ni 0.379 0.131 0.628
19 Ni 0.381 0.129 0.122
20 Ni 0.381 0.129 0.878
21 Ni 0.500 0.500 0.000
22 Ni 0.500 0.500 0.500
23 Ni 0.619 0.871 0.122
24 Ni 0.619 0.871 0.878
25 Ni 0.621 0.869 0.372
26 Ni 0.621 0.869 0.628
27 Ni 0.749 0.251 0.245
28 Ni 0.749 0.251 0.755
29 Ni 0.869 0.621 0.372
30 Ni 0.869 0.621 0.628
31 Ni 0.871 0.619 0.122
32 Ni 0.871 0.619 0.878

Record 5
ScAg2W: single point on PBEsol structure, meta-GGA SCAN.

Computed properties:
E_form, eV/f.u.: 1.37
Space-group type: R3m (160)
DOS at the Fermi energy, states/eV per atom: 0.579
Excess energy over the best structure of this formula in the dataset, meV/atom: 0

Cell lengths 9.703, 9.703, 9.703 Å; angles 17.08, 17.08, 17.08 degrees
Fractional coordinates of all 4 atoms:
1 Sc 0.000 0.000 0.000
2 Ag 0.248 0.248 0.248
3 Ag 0.499 0.499 0.499
4 W 0.750 0.750 0.750

Record 6
Be2Ag2H: single point on PBEsol structure, meta-GGA SCAN.

Computed properties:
Space-group type: P4/mbm (127)
DOS at the Fermi energy, states/eV per atom: 0.276
Total DFT energy (no corrections), eV per atom: -14.532

Cell lengths 5.292, 5.292, 4.033 Å; angles 90.00, 90.00, 90.00 degrees
Fractional coordinates of all 10 atoms:
1 Be 0.154 0.346 0.000
2 Be 0.346 0.846 0.000
3 Be 0.654 0.154 0.000
4 Be 0.846 0.654 0.000
5 Ag 0.172 0.672 0.500
6 Ag 0.328 0.172 0.500
7 Ag 0.672 0.828 0.500
8 Ag 0.828 0.328 0.500
9 H 0.000 0.000 0.000
10 H 0.500 0.500 0.000